U2AlSe4: optimized geometry, GGA-PBE.

Geometry as POSCAR:
```
U2AlSe4
1.0
-3.0144 -2.2172 1.5330
-1.7355 -2.0673 -6.4027
6.2599 -2.7970 2.9305
U Al Se
2 1 4
Direct
0.7483 0.7518 0.4966
0.2517 0.2482 0.5034
0.0000 0.0000 0.0000
0.8839 0.2181 0.7677
0.1161 0.7819 0.2323
0.6143 0.2845 0.2286
0.3857 0.7155 0.7714
```

Output
* uncorrected formation energy: -895 meV/atom
* total moment: 0.730 μB/atom
* crystal system: monoclinic
* symmetry: No. 12
* total DFT energy (no corrections): -6.646 eV/atom